Entry 1:
YZnSi2 | GGA-PBE | relaxed

Unit cell a=3.9973 b=3.8313 c=5.2760 alpha=90.00 beta=90.00 gamma=90.00
Closest atoms and distances in Å follow each position.
Positions (direct):
Si (0.0000, 0.7500, 0.0246)  1 Si 2.38, 2 Zn 2.47
Si (0.0000, 0.7500, 0.4754)  1 Si 2.38, 2 Zn 2.47
Y (0.5000, 0.2500, 0.2500)  8 Si 3.01, 4 Zn 3.26
Zn (0.5000, 0.7500, 0.7500)  4 Si 2.47

Calculated values
Uncorrected formation energy = -0.24 eV/atom
Symmetry = Pmmm (47)

---

Entry 2:
GeTePd3 | GGA-PBE | relaxed

Unit cell a=4.6939 b=4.6939 c=4.6939 alpha=90.00 beta=90.00 gamma=90.00
Closest atoms and distances in Å follow each position.
Positions (direct):
Ge (0.0000, 0.0000, 0.0000)  6 Pd 2.35
Te (0.5000, 0.5000, 0.5000)  12 Pd 3.32
Pd (0.0000, 0.5000, 0.0000)  2 Ge 2.35
Pd (0.0000, 0.0000, 0.5000)  2 Ge 2.35
Pd (0.5000, 0.0000, 0.0000)  2 Ge 2.35

Calculated values
Uncorrected formation energy = 0.07 eV/atom
Polymorph energy (0 for the lowest one) = 434 meV/atom
Symmetry = Pm-3m (221)

---

Entry 3:
IrRu3Au | GGA-PBE | relaxed

Unit cell a=4.6811 b=4.6811 c=4.6811 alpha=90.00 beta=90.00 gamma=90.00
Closest atoms and distances in Å follow each position.
Positions (direct):
Ru (0.0000, 0.5000, 0.0000)  2 Ir 2.34
Ru (0.0000, 0.0000, 0.5000)  2 Ir 2.34
Ru (0.5000, 0.0000, 0.0000)  2 Ir 2.34
Ir (0.0000, 0.0000, 0.0000)  6 Ru 2.34
Au (0.5000, 0.5000, 0.5000)  12 Ru 3.31

Calculated values
Polymorph energy (0 for the lowest one) = 0 meV/atom
Formation energy from the elements = 1.75 eV/atom
Symmetry = Pm-3m (221)

---

Copy entry 3 word for word.
IrRu3Au | GGA-PBE | relaxed

Unit cell a=4.6811 b=4.6811 c=4.6811 alpha=90.00 beta=90.00 gamma=90.00
Closest atoms and distances in Å follow each position.
Positions (direct):
Ru (0.0000, 0.5000, 0.0000)  2 Ir 2.34
Ru (0.0000, 0.0000, 0.5000)  2 Ir 2.34
Ru (0.5000, 0.0000, 0.0000)  2 Ir 2.34
Ir (0.0000, 0.0000, 0.0000)  6 Ru 2.34
Au (0.5000, 0.5000, 0.5000)  12 Ru 3.31

Calculated values
Polymorph energy (0 for the lowest one) = 0 meV/atom
Formation energy from the elements = 1.75 eV/atom
Symmetry = Pm-3m (221)